Model P:
Crystalline CeLuAg at its relaxed geometry, computed with PBE.

```
3
Lattice="5.0713 0.0000 0.0000 -2.5356 4.3919 0.0000 0.0000 0.0000 3.5606" Properties=species:S:1:pos:R:3 pbc="T T T"
Ce 0.0000 0.0000 0.0000
Lu 0.0000 2.9279 1.6686
Ag 2.5357 1.4640 2.0442
```

Summary:
Its space group is P3m1 (156).



Model Q:
Crystalline CeLuAg at its relaxed geometry, computed with PBE.

```
3
Lattice="-1.7286 1.7286 6.5717 1.7286 -1.7286 6.5717 1.7286 1.7286 -6.5717" Properties=species:S:1:pos:R:3 pbc="T T T"
Ce 0.0000 0.0000 0.0000
Lu 0.0000 0.0000 4.0091
Ag 0.0000 0.0000 8.7892
```

Summary:
Its space group is I4mm (107).



Least stable = model P



Model P:
Crystalline CeLu2Ag at its relaxed geometry, computed with PBE.

```
4
Lattice="0.0000 3.6676 3.6676 3.6676 0.0000 3.6676 3.6676 3.6676 0.0000" Properties=species:S:1:pos:R:3 pbc="T T T"
Ce 0.0000 0.0000 0.0000
Lu 1.8338 1.8338 1.8338
Lu 5.5013 5.5013 5.5013
Ag 3.6676 3.6676 3.6676
```

Summary:
Its space group is Fm-3m (225).



Model Q:
Crystalline CeLu2Ag at its relaxed geometry, computed with PBE.

```
4
Lattice="3.5238 0.0000 0.0000 0.0000 3.5238 0.0000 0.0000 0.0000 8.4547" Properties=species:S:1:pos:R:3 pbc="T T T"
Ce 0.0000 0.0000 0.0000
Lu 1.7619 1.7619 2.4327
Lu 1.7619 1.7619 6.0220
Ag 0.0000 0.0000 4.2274
```

Summary:
Its space group is P4/mmm (123).



Model R:
Crystalline CeLu2Ag at its relaxed geometry, computed with PBE.

```
4
Lattice="1.7155 0.9904 10.3210 -1.7155 0.9904 10.3210 0.0000 -1.9808 10.3210" Properties=species:S:1:pos:R:3 pbc="T T T"
Ce 0.0000 0.0000 0.0000
Lu 0.0000 0.0000 7.5056
Lu 0.0000 0.0000 23.4574
Ag 0.0000 0.0000 15.4815
```

Summary:
Its space group is R-3m (166).



Least stable = model P



Model P:
Crystalline CeMg4Ag2 at its relaxed geometry, computed with PBE.

```
14
Lattice="8.4572 0.0000 0.0000 0.0000 8.4572 0.0000 0.0000 0.0000 4.4937" Properties=species:S:1:pos:R:3 pbc="T T T"
Ce 0.0000 0.0000 0.0000
Ce 4.2286 4.2286 2.2468
Mg 0.7465 2.8585 2.2468
Mg 1.3701 4.9751 0.0000
Mg 2.8585 0.7465 2.2468
Mg 3.4821 7.0871 0.0000
Mg 4.9751 1.3701 0.0000
Mg 5.5988 7.7107 2.2468
Mg 7.0871 3.4821 0.0000
Mg 7.7107 5.5988 2.2468
Ag 1.8184 6.6388 2.2468
Ag 2.4102 2.4102 0.0000
Ag 6.0470 6.0470 0.0000
Ag 6.6388 1.8184 2.2468
```

Summary:
Its space group is P4_2/mnm (136).



Model Q:
Crystalline CeMg4Ag2 at its relaxed geometry, computed with PBE.

```
7
Lattice="2.2025 -8.4729 0.0000 2.2025 8.4729 0.0000 0.0000 0.0000 4.3960" Properties=species:S:1:pos:R:3 pbc="T T T"
Ce 0.0000 0.0000 0.0000
Mg 2.2025 5.4147 2.1980
Mg 2.2025 3.0712 0.0000
Mg 2.2025 -3.0712 0.0000
Mg 2.2025 -5.4147 2.1980
Ag 2.2025 1.3679 2.1980
Ag 2.2025 -1.3679 2.1980
```

Summary:
Its space group is Cmmm (65).



Least stable = model Q



Model P:
Crystalline Ce2NbAg at its relaxed geometry, computed with PBE.

```
4
Lattice="1.5044 0.8686 11.3519 -1.5044 0.8686 11.3519 0.0000 -1.7371 11.3519" Properties=species:S:1:pos:R:3 pbc="T T T"
Ce 0.0000 0.0000 2.8519
Ce 0.0000 0.0000 31.2038
Nb 0.0000 0.0000 0.0000
Ag 0.0000 0.0000 17.0279
```

Summary:
Its space group is R-3m (166).



Model Q:
Crystalline Ce2NbAg at its relaxed geometry, computed with PBE.

```
4
Lattice="2.9967 0.0000 0.0000 0.0000 2.9967 0.0000 0.0000 0.0000 10.0202" Properties=species:S:1:pos:R:3 pbc="T T T"
Ce 0.0000 0.0000 2.4907
Ce 0.0000 0.0000 7.5295
Nb 1.4983 1.4983 0.0000
Ag 1.4983 1.4983 5.0101
```

Summary:
Its space group is P4/mmm (123).



Least stable = model P



Model P:
Crystalline CeNd2Ag at its relaxed geometry, computed with PBE.

```
4
Lattice="0.0000 3.8169 3.8169 3.8169 0.0000 3.8169 3.8169 3.8169 0.0000" Properties=species:S:1:pos:R:3 pbc="T T T"
Ce 0.0000 0.0000 0.0000
Nd 1.9085 1.9085 1.9085
Nd 5.7254 5.7254 5.7254
Ag 3.8169 3.8169 3.8169
```

Summary:
Its space group is Fm-3m (225).



Model Q:
Crystalline CeNd2Ag at its relaxed geometry, computed with PBE.

```
4
Lattice="1.6844 0.9725 11.7998 -1.6844 0.9725 11.7998 0.0000 -1.9450 11.7998" Properties=species:S:1:pos:R:3 pbc="T T T"
Ce 0.0000 0.0000 0.0000
Nd 0.0000 0.0000 3.3248
Nd 0.0000 0.0000 32.0746
Ag 0.0000 0.0000 17.6997
```

Summary:
Its space group is R-3m (166).



Least stable = model Q



Model P:
Crystalline CeNd2Ag at its relaxed geometry, computed with PBE.

```
4
Lattice="3.6945 0.0000 0.0000 0.0000 3.6945 0.0000 0.0000 0.0000 8.4781" Properties=species:S:1:pos:R:3 pbc="T T T"
Ce 0.0000 0.0000 0.0000
Nd 1.8473 1.8473 2.3311
Nd 1.8473 1.8473 6.1470
Ag 0.0000 0.0000 4.2391
```

Summary:
Its space group is P4/mmm (123).



Model Q:
Crystalline CeNd2Ag at its relaxed geometry, computed with PBE.

```
4
Lattice="1.7898 1.0334 10.8683 -1.7898 1.0334 10.8683 0.0000 -2.0667 10.8683" Properties=species:S:1:pos:R:3 pbc="T T T"
Ce 0.0000 0.0000 0.0000
Nd 0.0000 0.0000 18.7844
Nd 0.0000 0.0000 24.7338
Ag 0.0000 0.0000 5.4637
```

Summary:
Its space group is R3m (160).



Least stable = model Q